Compound: Er3Te5H
Source: the Alexandria database
Functional: GGA-PBE
Structure: relaxed

abc: 13.3266 10.0178 9.0881
angles: 90.00 108.13 90.00
Closest atoms and distances in Å follow each position.
Space group C2/m (No. 12)
Symmetry-distinct sites (fractional):
1 Er 0.0000 0.0000 0.0000 [2 per cell]  2 H 2.49
2 Er 0.0000 0.0000 0.5000 [2 per cell]  2 H 2.38
3 Er 0.1696 0.5000 0.1629 [4 per cell]  5 Te 2.85-3.02
4 Er 0.2398 0.5000 0.5968 [4 per cell]  1 H 2.42
5 Te 0.0000 0.3042 0.0000 [4 per cell]  3 Er 3.01-3.05
6 Te 0.0022 0.5000 0.6547 [4 per cell]  1 Te 2.79
7 Te 0.1789 0.1928 0.6236 [8 per cell]  4 Er 3.00-3.21
8 Te 0.2258 0.0000 0.0676 [4 per cell]  3 Er 2.85-2.94
9 H 0.0699 0.0000 0.2884 [4 per cell]  3 Er 2.38-2.49

E_tot in Ha/atom: -0.166
Total moment in μB per cell: 0.00